A plane-wave DFT calculation with PBE-GGA was carried out for crystalline PrTa4Ge2 at its relaxed geometry.

Computed properties:
DFT total energy, eV per atom: -9.09

Cell lengths 3.747, 17.039, 4.364 Å; angles 90.00, 90.00, 90.00 degrees
Space group Cmmm (No. 65)
Symmetry-distinct sites (fractional):
Pr: 0.000 0.000 0.000 [2 per cell]
Ta: 0.000 0.185 0.500 [4 per cell]
Ta: 0.000 0.320 0.000 [4 per cell]
Ge: 0.000 0.425 0.500 [4 per cell]



A plane-wave DFT calculation with PBE-GGA was carried out for crystalline TbPrGe2 at its relaxed geometry.

Computed properties:
DFT total energy, eV per atom: -5.31

Cell lengths 4.3223, 4.3223, 20.1053 Å; angles 90.00, 90.00, 120.00 degrees
Space group R-3m (No. 166, hexagonal axes)
Symmetry-distinct sites (fractional):
Tb: 0.0000 0.0000 0.0000 [3 per cell]
Pr: 0.0000 0.0000 0.5000 [3 per cell]
Ge: 0.0000 0.0000 0.2545 [6 per cell]



A plane-wave DFT calculation with PBE-GGA was carried out for crystalline Tb2PrGe at its relaxed geometry.

Computed properties:
Polymorph energy (0 for the lowest one), meV per atom: 0.0
DFT total energy, eV per atom: -4.99

Cell lengths 4.758, 4.758, 4.722 Å; angles 90.00, 90.00, 90.00 degrees
Space group P4/mmm (No. 123)
Symmetry-distinct sites (fractional):
Tb: 0.000 0.500 0.000 [2 per cell]
Pr: 0.000 0.000 0.500 [1 per cell]
Ge: 0.500 0.500 0.500 [1 per cell]



A plane-wave DFT calculation with PBE-GGA was carried out for crystalline Tb2PrGe at its relaxed geometry.

Computed properties:
Polymorph energy (0 for the lowest one), meV per atom: 72.3
DFT total energy, eV per atom: -4.92

Cell lengths 3.7723, 3.7723, 29.8128 Å; angles 90.00, 90.00, 120.00 degrees
Space group R-3m (No. 166, hexagonal axes)
Symmetry-distinct sites (fractional):
Tb: 0.0000 0.0000 0.2308 [6 per cell]
Pr: 0.0000 0.0000 0.0000 [3 per cell]
Ge: 0.0000 0.0000 0.5000 [3 per cell]



A plane-wave DFT calculation with PBE-GGA was carried out for crystalline Tb2PrGe at its relaxed geometry.

Computed properties:
Polymorph energy (0 for the lowest one), meV per atom: 7.8
DFT total energy, eV per atom: -4.98

Cell lengths 3.864, 3.864, 7.451 Å; angles 90.00, 90.00, 90.00 degrees
Space group P4/mmm (No. 123)
Symmetry-distinct sites (fractional):
Tb: 0.000 0.000 0.197 [2 per cell]
Pr: 0.500 0.500 0.500 [1 per cell]
Ge: 0.500 0.500 0.000 [1 per cell]



A plane-wave DFT calculation with PBE-GGA was carried out for crystalline Tb3Pr3Ge4 at its relaxed geometry.

Computed properties:
DFT total energy, eV per atom: -5.44

Cell lengths 4.399, 10.974, 10.920 Å; angles 90.00, 90.00, 90.00 degrees
Space group Amm2 (No. 38)
Symmetry-distinct sites (fractional):
Tb: 0.000 0.000 0.000 [2 per cell]
Tb: 0.500 0.249 0.424 [4 per cell]
Pr: 0.000 0.000 0.348 [2 per cell]
Pr: 0.000 0.175 0.676 [4 per cell]
Ge: 0.500 0.000 0.555 [2 per cell]
Ge: 0.500 0.000 0.803 [2 per cell]
Ge: 0.500 0.120 0.170 [4 per cell]



A plane-wave DFT calculation with PBE-GGA was carried out for crystalline TbPrGe2 at its relaxed geometry.

Computed properties:
DFT total energy, eV per atom: -5.50

Cell lengths 4.047, 5.930, 8.187 Å; angles 90.00, 90.00, 90.00 degrees
Space group Pmc2_1 (No. 26)
Symmetry-distinct sites (fractional):
Tb: 0.000 0.131 0.000 [2 per cell]
Pr: 0.500 0.368 0.363 [2 per cell]
Ge: 0.000 0.386 0.643 [2 per cell]
Ge: 0.500 0.108 0.721 [2 per cell]



A plane-wave DFT calculation with PBE-GGA was carried out for crystalline TbPr4Ge4 at its relaxed geometry.

Computed properties:
DFT total energy, eV per atom: -5.28

Cell lengths 9.145, 9.145, 6.166 Å; angles 90.00, 90.00, 90.00 degrees
Space group P4_2/n (No. 86, origin choice 2)
Symmetry-distinct sites (fractional):
Tb: 0.250 0.250 0.250 [2 per cell]
Pr: 0.048 0.672 0.118 [8 per cell]
Ge: 0.014 0.629 0.607 [8 per cell]



A plane-wave DFT calculation with PBE-GGA was carried out for crystalline Tb3Pr2Ge4 at its relaxed geometry.

Computed properties:
DFT total energy, eV per atom: -5.52

Cell lengths 7.938, 7.976, 7.680 Å; angles 90.00, 109.25, 90.00 degrees
Space group P2_1/c (No. 14)
Symmetry-distinct sites (fractional):
Tb: 0.000 0.000 0.000 [2 per cell]
Tb: 0.254 0.170 0.752 [4 per cell]
Pr: 0.305 0.679 0.927 [4 per cell]
Ge: 0.009 0.631 0.133 [4 per cell]
Ge: 0.417 0.038 0.146 [4 per cell]



A plane-wave DFT calculation with PBE-GGA was carried out for crystalline TbPr5Ge4 at its relaxed geometry.

Computed properties:
DFT total energy, eV per atom: -5.31

Cell lengths 15.973, 5.142, 7.065 Å; angles 90.00, 91.02, 90.00 degrees
Space group C2/m (No. 12)
Symmetry-distinct sites (fractional):
Tb: 0.000 0.000 0.000 [2 per cell]
Pr: 0.000 0.000 0.500 [2 per cell]
Pr: 0.164 0.500 0.496 [4 per cell]
Pr: 0.166 0.500 0.007 [4 per cell]
Ge: 0.009 0.500 0.759 [4 per cell]
Ge: 0.176 0.000 0.249 [4 per cell]



A plane-wave DFT calculation with PBE-GGA was carried out for crystalline Tb2PrGe at its relaxed geometry.

Computed properties:
Polymorph energy (0 for the lowest one), meV per atom: 66.3
DFT total energy, eV per atom: -4.92

Cell lengths 3.8242, 3.8242, 29.2983 Å; angles 90.00, 90.00, 120.00 degrees
Space group R3m (No. 160, hexagonal axes)
Symmetry-distinct sites (fractional):
Tb: 0.0000 0.0000 0.0000 [3 per cell]
Tb: 0.0000 0.0000 0.2064 [3 per cell]
Pr: 0.0000 0.0000 0.4376 [3 per cell]
Ge: 0.0000 0.0000 0.6029 [3 per cell]



A plane-wave DFT calculation with PBE-GGA was carried out for crystalline TbPrGe2 at its relaxed geometry.

Computed properties:
DFT total energy, eV per atom: -5.50

Cell lengths 4.049, 4.421, 10.994 Å; angles 90.00, 90.00, 90.00 degrees
Space group Amm2 (No. 38)
Symmetry-distinct sites (fractional):
Tb: 0.000 0.000 0.000 [2 per cell]
Pr: 0.500 0.000 0.276 [2 per cell]
Ge: 0.000 0.000 0.718 [2 per cell]
Ge: 0.500 0.000 0.553 [2 per cell]



A plane-wave DFT calculation with PBE-GGA was carried out for crystalline PrTcGe4 at its relaxed geometry.

Computed properties:
DFT total energy, eV per atom: -5.84

Cell lengths 11.505, 6.361, 6.925 Å; angles 90.00, 94.95, 90.00 degrees
Space group C2/c (No. 15)
Symmetry-distinct sites (fractional):
Pr: 0.000 0.100 0.250 [4 per cell]
Tc: 0.250 0.250 0.000 [4 per cell]
Ge: 0.054 0.376 0.907 [8 per cell]
Ge: 0.248 0.114 0.651 [8 per cell]



A plane-wave DFT calculation with PBE-GGA was carried out for crystalline PrTc3Ge2 at its relaxed geometry.

Computed properties:
DFT total energy, eV per atom: -7.90

Cell lengths 15.588, 4.168, 7.696 Å; angles 90.00, 117.29, 90.00 degrees
Space group C2/m (No. 12)
Symmetry-distinct sites (fractional):
Pr: 0.142 0.000 0.059 [4 per cell]
Tc: 0.048 0.000 0.404 [4 per cell]
Tc: 0.085 0.500 0.644 [4 per cell]
Tc: 0.202 0.500 0.476 [4 per cell]
Ge: 0.024 0.500 0.187 [4 per cell]
Ge: 0.199 0.000 0.723 [4 per cell]



A plane-wave DFT calculation with PBE-GGA was carried out for crystalline PrTcGe3 at its relaxed geometry.

Computed properties:
DFT total energy, eV per atom: -6.07

Cell lengths 13.976, 12.761, 4.678 Å; angles 90.00, 94.59, 90.00 degrees
Space group C2/c (No. 15)
Symmetry-distinct sites (fractional):
Pr: 0.189 0.112 0.095 [8 per cell]
Tc: 0.000 0.311 0.250 [4 per cell]
Tc: 0.000 0.460 0.750 [4 per cell]
Ge: 0.043 0.115 0.523 [8 per cell]
Ge: 0.105 0.295 0.795 [8 per cell]
Ge: 0.147 0.423 0.378 [8 per cell]



A plane-wave DFT calculation with PBE-GGA was carried out for crystalline Pr2Tc3Ge4 at its relaxed geometry.

Computed properties:
DFT total energy, eV per atom: -6.90

Cell lengths 5.556, 9.686, 13.220 Å; angles 90.00, 90.00, 90.00 degrees
Space group Fmmm (No. 69)
Symmetry-distinct sites (fractional):
Pr: 0.000 0.000 0.138 [8 per cell]
Tc: 0.000 0.000 0.500 [4 per cell]
Tc: 0.250 0.250 0.000 [8 per cell]
Ge: 0.000 0.169 0.345 [16 per cell]



A plane-wave DFT calculation with PBE-GGA was carried out for crystalline Pr2TcGe4 at its relaxed geometry.

Computed properties:
DFT total energy, eV per atom: -5.84

Cell lengths 6.016, 6.016, 9.140 Å; angles 90.00, 90.00, 90.00 degrees
Space group I4/mmm (No. 139)
Symmetry-distinct sites (fractional):
Pr: 0.000 0.500 0.250 [4 per cell]
Tc: 0.000 0.000 0.000 [2 per cell]
Ge: 0.212 0.212 0.500 [8 per cell]



A plane-wave DFT calculation with PBE-GGA was carried out for crystalline PrTc2Ge2 at its relaxed geometry.

Computed properties:
Polymorph energy (0 for the lowest one), meV per atom: 0.0
DFT total energy, eV per atom: -7.44

Cell lengths 4.193, 4.218, 21.820 Å; angles 90.00, 90.00, 90.00 degrees
Space group Imma (No. 74)
Symmetry-distinct sites (fractional):
Pr: 0.000 0.250 0.161 [4 per cell]
Tc: 0.000 0.250 0.464 [4 per cell]
Tc: 0.000 0.250 0.966 [4 per cell]
Ge: 0.000 0.250 0.603 [4 per cell]
Ge: 0.000 0.250 0.720 [4 per cell]



A plane-wave DFT calculation with PBE-GGA was carried out for crystalline PrTc4Ge2 at its relaxed geometry.

Computed properties:
DFT total energy, eV per atom: -8.32

Cell lengths 4.168, 14.492, 4.139 Å; angles 90.00, 90.00, 90.00 degrees
Space group Cmmm (No. 65)
Symmetry-distinct sites (fractional):
Pr: 0.000 0.000 0.000 [2 per cell]
Tc: 0.000 0.194 0.500 [4 per cell]
Tc: 0.000 0.301 0.000 [4 per cell]
Ge: 0.000 0.410 0.500 [4 per cell]



A plane-wave DFT calculation with PBE-GGA was carried out for crystalline PrTc2Ge2 at its relaxed geometry.

Computed properties:
Polymorph energy (0 for the lowest one), meV per atom: 84.8
DFT total energy, eV per atom: -7.35

Cell lengths 4.223, 4.223, 10.727 Å; angles 90.00, 90.00, 90.00 degrees
Space group I4/mmm (No. 139)
Symmetry-distinct sites (fractional):
Pr: 0.000 0.000 0.000 [2 per cell]
Tc: 0.000 0.500 0.250 [4 per cell]
Ge: 0.000 0.000 0.375 [4 per cell]



A plane-wave DFT calculation with PBE-GGA was carried out for crystalline PrTc2Ge4 at its relaxed geometry.

Computed properties:
DFT total energy, eV per atom: -6.48

Cell lengths 7.804, 7.804, 8.292 Å; angles 90.00, 90.00, 90.00 degrees
Space group I-42d (No. 122)
Symmetry-distinct sites (fractional):
Pr: 0.000 0.000 0.000 [4 per cell]
Tc: 0.163 0.250 0.625 [8 per cell]
Ge: 0.087 0.143 0.337 [16 per cell]



A plane-wave DFT calculation with PBE-GGA was carried out for crystalline PrTc2Ge7 at its relaxed geometry.

Computed properties:
DFT total energy, eV per atom: -5.78

Cell lengths 8.781, 10.521, 4.787 Å; angles 90.00, 90.00, 90.00 degrees
Space group Cmmm (No. 65)
Symmetry-distinct sites (fractional):
Pr: 0.000 0.000 0.000 [2 per cell]
Tc: 0.000 0.275 0.500 [4 per cell]
Ge: 0.000 0.297 0.000 [4 per cell]
Ge: 0.000 0.500 0.500 [2 per cell]
Ge: 0.221 0.117 0.500 [8 per cell]



A plane-wave DFT calculation with PBE-GGA was carried out for crystalline PrTc2Ge3 at its relaxed geometry.

Computed properties:
DFT total energy, eV per atom: -6.88

Cell lengths 9.835, 7.759, 5.855 Å; angles 90.00, 90.00, 90.00 degrees
Space group Cmcm (No. 63)
Symmetry-distinct sites (fractional):
Pr: 0.000 0.153 0.250 [4 per cell]
Tc: 0.204 0.500 0.000 [8 per cell]
Ge: 0.000 0.463 0.750 [4 per cell]
Ge: 0.172 0.211 0.750 [8 per cell]



Number 1: volume 19.899 Å³/atom, DFT formation energy -0.3117 eV per atom. Number 2: volume 27.107 Å³/atom, DFT formation energy -0.6519 eV per atom. Number 3: volume 26.721 Å³/atom, DFT formation energy -0.3238 eV per atom. Number 4: volume 30.616 Å³/atom, DFT formation energy -0.2514 eV per atom. Number 5: volume 27.817 Å³/atom, DFT formation energy -0.3159 eV per atom. Number 6: volume 26.361 Å³/atom, DFT formation energy -0.7660 eV per atom. Number 7: volume 24.562 Å³/atom, DFT formation energy -0.8402 eV per atom. Number 8: volume 28.650 Å³/atom, DFT formation energy -0.5915 eV per atom. Number 9: volume 25.502 Å³/atom, DFT formation energy -0.8660 eV per atom. Number 10: volume 29.008 Å³/atom, DFT formation energy -0.6089 eV per atom. Number 11: volume 30.923 Å³/atom, DFT formation energy -0.2575 eV per atom. Number 12: volume 24.599 Å³/atom, DFT formation energy -0.8423 eV per atom. Number 13: volume 21.038 Å³/atom, DFT formation energy -0.2349 eV per atom. Number 14: volume 18.515 Å³/atom, DFT formation energy -0.3822 eV per atom. Number 15: volume 20.792 Å³/atom, DFT formation energy -0.2751 eV per atom. Number 16: volume 19.760 Å³/atom, DFT formation energy -0.3347 eV per atom. Number 17: volume 23.626 Å³/atom, DFT formation energy -0.3564 eV per atom. Number 18: volume 19.298 Å³/atom, DFT formation energy -0.4872 eV per atom. Number 19: volume 17.860 Å³/atom, DFT formation energy -0.3973 eV per atom. Number 20: volume 19.131 Å³/atom, DFT formation energy -0.4024 eV per atom. Number 21: volume 18.035 Å³/atom, DFT formation energy -0.1962 eV per atom. Number 22: volume 22.112 Å³/atom, DFT formation energy 0.0066 eV per atom. Number 23: volume 18.616 Å³/atom, DFT formation energy -0.3205 eV per atom.